# Cr2InSbIr (PBE-GGA, relaxed)
data_Cr2InSbIr
_chemical_formula_sum 'Cr2 In1 Sb1 Ir1'
_symmetry_space_group_name_H-M 'P 4/m m m'
_symmetry_Int_Tables_number 123
_symmetry_space_group_name_Hall '-P 4 2'
_cell_length_a 5.000
_cell_length_b 5.000
_cell_length_c 4.912
_cell_angle_alpha 90.00
_cell_angle_beta 90.00
_cell_angle_gamma 90.00
loop_
_atom_site_label
_atom_site_type_symbol
_atom_site_fract_x
_atom_site_fract_y
_atom_site_fract_z
_atom_site_occupancy
Cr1 Cr 0.000 0.500 0.000 1
In1 In 0.000 0.000 0.000 1
Sb1 Sb 0.500 0.500 0.500 1
Ir1 Ir 0.000 0.000 0.500 1
# Final energy, eV per atom: -5.627